Entry 1:
VASP calculation (PBE) on crystalline PuTh2Si3Ni4 at its relaxed geometry.

The structure in extended XYZ format:
```
10
Lattice="4.178 0.000 0.000 0.000 4.178 0.000 0.000 0.000 9.871" Properties=species:S:1:pos:R:3 pbc="T T T"
Pu 2.089 2.089 4.936
Th 2.089 0.000 2.265
Th 0.000 2.089 7.606
Si 0.000 0.000 4.936
Si 2.089 0.000 8.730
Si 0.000 2.089 1.142
Ni 2.089 2.089 0.000
Ni 0.000 0.000 0.000
Ni 2.089 0.000 6.441
Ni 0.000 2.089 3.430
```

Summary:
SG: No. 115
Uncorrected formation energy: -0.661 eV per atom

Entry 2:
VASP calculation (PBE) on crystalline Li2TeRh at its relaxed geometry.

The structure in extended XYZ format:
```
8
Lattice="3.941 0.000 0.000 0.000 3.941 0.000 1.970 1.970 9.177" Properties=species:S:1:pos:R:3 pbc="T T T"
Te 0.000 0.000 0.000
Te 3.941 1.970 4.589
Rh 1.970 1.970 0.000
Rh 1.970 3.941 4.589
Li 2.896 0.985 2.294
Li 1.045 2.955 2.294
Li 2.955 3.015 6.883
Li 4.926 4.866 6.883
```

Summary:
SG: No. 122
Uncorrected formation energy: -0.307 eV per atom

Entry 3:
VASP calculation (PBE) on crystalline PuPaIr at its relaxed geometry.

The structure in extended XYZ format:
```
6
Lattice="4.505 -0.230 0.106 0.227 4.404 -0.098 0.534 0.143 7.114" Properties=species:S:1:pos:R:3 pbc="T T T"
Pu 4.014 3.717 3.960
Pu 1.793 1.573 2.010
Pa 4.039 1.574 6.829
Pa 2.302 3.859 6.254
Ir 4.428 3.627 1.229
Ir 1.378 1.663 4.740
```

Summary:
SG: No. 2
Formation energy: -0.357 eV/atom
Distance to the lowest polymorph of the same formula: 0.115 eV/atom

Entry 4:
VASP calculation (PBE) on crystalline Ni2AsH at its relaxed geometry.

The structure in extended XYZ format:
```
4
Lattice="-2.156 3.091 0.952 -2.464 1.523 -2.592 -4.695 -1.108 0.897" Properties=species:S:1:pos:R:3 pbc="T T T"
Ni -3.561 -0.157 0.379
Ni -5.753 3.663 -1.121
As -4.657 1.753 -0.371
H 0.000 0.000 0.000
```

Summary:
SG: No. 166
Distance to the lowest polymorph of the same formula: 0.167 eV/atom